Density functional theory data (PBE) for a geometry-optimized Si2SnBr structure.

Values from the calculation:
Magnetic moment, μB/atom: 0.0000
Volume, Å³/cell: 233.0
ΔE to the lowest computed polymorph, meV/atom: 71

Cell lengths 5.6253, 5.6253, 8.3699 Å; angles 70.36, 70.36, 90.00 degrees
Element x y z (fractional)
Si: 0.3750 0.3722 0.7500
Si: 0.6278 0.1250 0.2500
Sn: 0.7500 0.2500 0.5000
Si: 0.8750 0.8778 0.7500
Sn: 0.0000 0.0000 0.0000
Br: 0.2500 0.7500 0.5000
Si: 0.1222 0.6250 0.2500
Br: 0.5000 0.5000 0.0000

Density functional theory data (PBE) for a geometry-optimized Si2SnBr structure.

Values from the calculation:
Magnetic moment, μB/atom: 0.0000
Volume, Å³/cell: 85.1
ΔE to the lowest computed polymorph, meV/atom: 0

Cell lengths 4.9374, 4.9374, 4.9374 Å; angles 60.00, 60.00, 60.00 degrees
Element x y z (fractional)
Br: 0.0000 0.0000 0.0000
Si: 0.2500 0.2500 0.2500
Sn: 0.5000 0.5000 0.5000
Si: 0.7500 0.7500 0.7500

Density functional theory data (PBE) for a geometry-optimized SiSnBr2 structure.

Values from the calculation:
Magnetic moment, μB/atom: 0.0000
Volume, Å³/cell: 101.5
ΔE to the lowest computed polymorph, meV/atom: 208

Cell lengths 5.2367, 5.2367, 5.2367 Å; angles 60.00, 60.00, 60.00 degrees
Element x y z (fractional)
Br: 0.2500 0.2500 0.2500
Br: 0.7500 0.7500 0.7500
Si: 0.0000 0.0000 0.0000
Sn: 0.5000 0.5000 0.5000

Density functional theory data (PBE) for a geometry-optimized SiSn3Br structure.

Values from the calculation:
Magnetic moment, μB/atom: 0.0000
Volume, Å³/cell: 154.0
ΔE to the lowest computed polymorph, meV/atom: 0

Cell lengths 5.3603, 5.3603, 5.3603 Å; angles 90.00, 90.00, 90.00 degrees
Element x y z (fractional)
Sn: 0.0000 0.5000 0.0000
Si: 0.0000 0.0000 0.0000
Sn: 0.0000 0.0000 0.5000
Sn: 0.5000 0.0000 0.0000
Br: 0.5000 0.5000 0.5000

Density functional theory data (PBE) for a geometry-optimized SiSnBr2 structure.

Values from the calculation:
Magnetic moment, μB/atom: 0.0000
Volume, Å³/cell: 112.6
ΔE to the lowest computed polymorph, meV/atom: 0

Cell lengths 10.0774, 10.0774, 10.0774 Å; angles 20.76, 20.76, 20.76 degrees
Element x y z (fractional)
Br: 0.8987 0.8987 0.8987
Sn: 0.0000 0.0000 0.0000
Br: 0.1013 0.1013 0.1013
Si: 0.5000 0.5000 0.5000

Density functional theory data (PBE) for a geometry-optimized SiSn3Br structure.

Values from the calculation:
Magnetic moment, μB/atom: 0.0000
Volume, Å³/cell: 170.5
ΔE to the lowest computed polymorph, meV/atom: 548

Cell lengths 5.5450, 5.5450, 5.5450 Å; angles 90.00, 90.00, 90.00 degrees
Element x y z (fractional)
Sn: 0.5000 0.0000 0.0000
Sn: 0.0000 0.0000 0.5000
Br: 0.0000 0.0000 0.0000
Sn: 0.0000 0.5000 0.0000
Si: 0.5000 0.5000 0.5000

Density functional theory data (PBE) for a geometry-optimized SiSnBr3 structure.

Values from the calculation:
Magnetic moment, μB/atom: 0.2268
Volume, Å³/cell: 184.3
ΔE to the lowest computed polymorph, meV/atom: 253

Cell lengths 5.6911, 5.6911, 5.6911 Å; angles 90.00, 90.00, 90.00 degrees
Last column: magnetic moment on the atom in μB.
Element x y z (fractional)
Br: 0.0000 0.0000 0.5000  -0.01
Br: 0.0000 0.5000 0.0000  -0.01
Br: 0.5000 0.0000 0.0000  -0.02
Si: 0.5000 0.5000 0.5000  0.38
Sn: 0.0000 0.0000 0.0000  -0.01

Density functional theory data (PBE) for a geometry-optimized SiSnBr3 structure.

Values from the calculation:
Magnetic moment, μB/atom: 0.1863
Volume, Å³/cell: 148.9
ΔE to the lowest computed polymorph, meV/atom: 0

Cell lengths 5.2997, 5.2997, 5.2997 Å; angles 90.00, 90.00, 90.00 degrees
Last column: magnetic moment on the atom in μB.
Element x y z (fractional)
Br: 0.0000 0.0000 0.5000  0.01
Si: 0.0000 0.0000 0.0000  0.00
Br: 0.5000 0.0000 0.0000  0.00
Sn: 0.5000 0.5000 0.5000  0.38
Br: 0.0000 0.5000 0.0000  0.01

Density functional theory data (PBE) for a geometry-optimized SrSiBr2 structure.

Values from the calculation:
Magnetic moment, μB/atom: 0.2866
Volume, Å³/cell: 124.9
ΔE to the lowest computed polymorph, meV/atom: 208

Cell lengths 4.1586, 4.8905, 6.1432 Å; angles 90.00, 90.00, 90.00 degrees
Last column: magnetic moment on the atom in μB.
Element x y z (fractional)
Si: 0.0000 0.0000 0.5521  0.24
Br: 0.5000 0.5000 0.2504  0.08
Br: 0.0000 0.0000 0.9543  0.07
Sr: 0.5000 0.5000 0.7432  0.06

Density functional theory data (PBE) for a geometry-optimized SrSiBr2 structure.

Values from the calculation:
Magnetic moment, μB/atom: 0.0000
Volume, Å³/cell: 107.1
ΔE to the lowest computed polymorph, meV/atom: 190

Cell lengths 5.0018, 5.0018, 4.2796 Å; angles 90.00, 90.00, 90.00 degrees
Element x y z (fractional)
Si: 0.5000 0.0000 0.5000
Br: 0.5000 0.5000 0.0000
Br: 0.0000 0.0000 0.0000
Sr: 0.0000 0.5000 0.5000

Density functional theory data (PBE) for a geometry-optimized SrSiBr3 structure.

Values from the calculation:
Magnetic moment, μB/atom: 0.0000
Volume, Å³/cell: 160.0
ΔE to the lowest computed polymorph, meV/atom: 0

Cell lengths 5.4284, 5.4284, 5.4284 Å; angles 90.00, 90.00, 90.00 degrees
Element x y z (fractional)
Si: 0.0000 0.0000 0.0000
Br: 0.5000 0.0000 0.0000
Br: 0.0000 0.5000 0.0000
Br: 0.0000 0.0000 0.5000
Sr: 0.5000 0.5000 0.5000

Density functional theory data (PBE) for a geometry-optimized SrSiBr2 structure.

Values from the calculation:
Magnetic moment, μB/atom: 0.5030
Volume, Å³/cell: 117.4
ΔE to the lowest computed polymorph, meV/atom: 475

Cell lengths 5.4961, 5.4961, 5.4961 Å; angles 60.00, 60.00, 60.00 degrees
Last column: magnetic moment on the atom in μB.
Element x y z (fractional)
Br: 0.2500 0.2500 0.2500  0.07
Si: 0.5000 0.5000 0.5000  0.49
Sr: 0.7500 0.7500 0.7500  0.10
Br: 0.0000 0.0000 0.0000  0.07

Density functional theory data (PBE) for a geometry-optimized SrSiBr2 structure.

Values from the calculation:
Magnetic moment, μB/atom: 0.0000
Volume, Å³/cell: 258.6
ΔE to the lowest computed polymorph, meV/atom: 225

Cell lengths 5.1982, 5.1982, 10.2517 Å; angles 75.31, 75.31, 90.00 degrees
Element x y z (fractional)
Br: 0.5995 0.1250 0.2500
Si: 0.2500 0.7500 0.5000
Si: 0.5000 0.5000 0.0000
Br: 0.3750 0.4005 0.7500
Sr: 0.0000 0.0000 0.0000
Br: 0.1505 0.6250 0.2500
Br: 0.8750 0.8495 0.7500
Sr: 0.7500 0.2500 0.5000

Density functional theory data (PBE) for a geometry-optimized SrSiBr4 structure.

Values from the calculation:
Magnetic moment, μB/atom: 0.0197
Volume, Å³/cell: 186.7

Cell lengths 6.4158, 6.4158, 6.4158 Å; angles 60.00, 60.00, 60.00 degrees
Last column: magnetic moment on the atom in μB.
Element x y z (fractional)
Sr: 0.0000 0.0000 0.0000  0.03
Br: 0.3747 0.3747 0.3747  -0.27
Br: 0.8759 0.3747 0.3747  -0.27
Br: 0.3747 0.3747 0.8759  -0.27
Br: 0.3747 0.8759 0.3747  -0.27
Si: 0.7500 0.7500 0.7500  0.39

Density functional theory data (PBE) for a geometry-optimized SrSiBr2 structure.

Values from the calculation:
Magnetic moment, μB/atom: 0.3992
Volume, Å³/cell: 113.7
ΔE to the lowest computed polymorph, meV/atom: 245

Cell lengths 5.6678, 5.6678, 5.6678 Å; angles 126.52, 126.52, 79.04 degrees
Last column: magnetic moment on the atom in μB.
Element x y z (fractional)
Br: 0.5000 0.5000 0.0000  0.07
Si: 0.2500 0.7500 0.5000  0.39
Sr: 0.7500 0.2500 0.5000  0.07
Br: 0.0000 0.0000 0.0000  0.07

Density functional theory data (PBE) for a geometry-optimized Sr4SiBr4 structure.

Values from the calculation:
Magnetic moment, μB/atom: 0.0000
Volume, Å³/cell: 338.7

Cell lengths 4.5955, 8.0241, 10.0930 Å; angles 74.30, 76.84, 73.36 degrees
Element x y z (fractional)
Br: 0.2989 0.5970 0.8051
Sr: 0.9191 0.2623 0.8995
Sr: 0.3098 0.1011 0.2792
Br: 0.8786 0.8346 0.4082
Si: 0.5000 0.0000 0.0000
Br: 0.7011 0.4030 0.1949
Sr: 0.0809 0.7377 0.1005
Br: 0.1214 0.1654 0.5918
Sr: 0.6902 0.8989 0.7208

Density functional theory data (PBE) for a geometry-optimized SrSiBr2 structure.

Values from the calculation:
Magnetic moment, μB/atom: 0.0000
Volume, Å³/cell: 137.3
ΔE to the lowest computed polymorph, meV/atom: 0

Cell lengths 7.2226, 7.2226, 7.2226 Å; angles 145.93, 139.07, 54.27 degrees
Element x y z (fractional)
Br: 0.8989 0.8989 0.0000
Si: 0.7500 0.2500 0.5000
Br: 0.6011 0.6011 0.0000
Sr: 0.2500 0.7500 0.5000

Density functional theory data (PBE) for a geometry-optimized SrSiBr2 structure.

Values from the calculation:
Magnetic moment, μB/atom: 0.0359
Volume, Å³/cell: 112.1
ΔE to the lowest computed polymorph, meV/atom: 116

Cell lengths 3.9548, 6.1535, 7.6956 Å; angles 36.78, 90.00, 90.00 degrees
Element x y z (fractional)
Br: 0.5000 0.5000 0.0000
Sr: 0.0000 0.0000 0.5000
Br: 0.0000 0.0000 0.0000
Si: 0.5000 0.5000 0.5000

Density functional theory data (PBE) for a geometry-optimized SrSiBr2 structure.

Values from the calculation:
Magnetic moment, μB/atom: 0.0000
Volume, Å³/cell: 129.6
ΔE to the lowest computed polymorph, meV/atom: 159

Cell lengths 3.8740, 3.8740, 8.6366 Å; angles 90.00, 90.00, 90.03 degrees
Element x y z (fractional)
Br: 0.5000 0.5000 0.3790
Sr: 0.5000 0.5000 0.7412
Br: 0.0000 0.0000 0.9283
Si: 0.0000 0.0000 0.4514

Density functional theory data (PBE) for a geometry-optimized Sr4SiBr5 structure.

Values from the calculation:
Magnetic moment, μB/atom: 0.0321
Volume, Å³/cell: 384.5

Cell lengths 4.3624, 9.3374, 10.0814 Å; angles 106.05, 102.50, 90.00 degrees
Last column: magnetic moment on the atom in μB.
Element x y z (fractional)
Br: 0.1673 0.3386 0.3346  0.00
Br: 0.1694 0.8682 0.3388  0.00
Si: 0.5000 0.0000 0.0000  0.07
Br: 0.5000 0.5000 0.0000  0.00
Br: 0.8306 0.1318 0.6612  0.00
Sr: 0.6656 0.1106 0.3313  0.01
Sr: 0.3344 0.8894 0.6687  0.01
Sr: 0.0019 0.2488 0.0038  0.00
Br: 0.8327 0.6614 0.6654  0.00
Sr: 0.9981 0.7512 0.9962  0.00

Going through the records in order, we get final energy values of -3.48 -3.55 -2.89 -3.44 -3.10 -2.89 -2.69 -2.94 -3.19 -3.20 -3.11 -2.92 -3.17 -2.23 -3.15 -3.66 -3.39 -3.28 -3.24 -3.69 eV/atom.